(1)
Entry from the Alexandria database: a geometry-optimized Ho3ScZn4 structure (PBE-GGA).

```
Ho3ScZn4
1.0
2.479 1.431 8.101
-2.479 1.431 8.101
0.000 -2.862 8.101
Ho Sc Zn
3 1 4
Direct
0.000 0.000 0.000
0.248 0.248 0.248
0.752 0.752 0.752
0.500 0.500 0.500
0.126 0.126 0.126
0.377 0.377 0.377
0.623 0.623 0.623
0.874 0.874 0.874
```

For the energy of formation, the calculation gives -7.95 kcal/mol of atoms.

(2)
Entry from the Alexandria database: a geometry-optimized Ca2Cd16Ga structure (PBE-GGA).

```
Ca2Cd16Ga
1.0
5.082 2.934 4.979
-5.082 2.934 4.979
0.000 -5.868 4.979
Ca Cd Ga
2 16 1
Direct
0.000 0.000 0.000
0.345 0.345 0.345
0.048 0.048 0.448
0.048 0.448 0.048
0.138 0.693 0.693
0.335 0.335 0.793
0.335 0.793 0.335
0.361 0.671 0.980
0.361 0.980 0.671
0.448 0.048 0.048
0.581 0.581 0.581
0.671 0.361 0.980
0.671 0.980 0.361
0.693 0.138 0.693
0.693 0.693 0.138
0.793 0.335 0.335
0.980 0.361 0.671
0.980 0.671 0.361
0.768 0.768 0.768
```

For the energy of formation, the calculation gives -2.80 kcal/mol of atoms.

(3)
Entry from the Alexandria database: a geometry-optimized Be2CrHg structure (PBE-GGA).

```
Be2CrHg
1.0
-3.226 3.226 2.654
3.226 -3.226 2.654
3.226 3.226 -2.654
Be Cr Hg
4 2 2
Direct
0.118 0.625 0.993
0.375 0.368 0.493
0.632 0.125 0.007
0.875 0.882 0.507
0.000 0.000 0.000
0.750 0.250 0.500
0.250 0.750 0.500
0.500 0.500 0.000
```

Its distance to the lowest polymorph of the same formula is 0.406 eV/atom. For the energy of formation, the calculation gives 17.36 kcal/mol of atoms.

(4)
Entry from the Alexandria database: a geometry-optimized SiPbCl2 structure (PBE-GGA).

```
SiPbCl2
1.0
1.724 0.995 9.193
-1.724 0.995 9.193
0.000 -1.991 9.193
Si Pb Cl
1 1 2
Direct
0.000 0.000 0.000
0.500 0.500 0.500
0.259 0.259 0.259
0.741 0.741 0.741
```

Its distance to the lowest polymorph of the same formula is 0.277 eV/atom. The raw formation energy is -0.4 eV per formula unit.

(5)
Entry from the Alexandria database: a geometry-optimized TlCu structure (PBE-GGA).

```
TlCu
1.0
3.298 0.000 0.000
0.000 17.511 0.000
0.000 0.000 4.413
Tl Cu
6 6
Direct
0.250 0.093 0.067
0.250 0.407 0.067
0.250 0.750 0.412
0.750 0.250 0.588
0.750 0.593 0.933
0.750 0.907 0.933
0.250 0.250 0.091
0.250 0.549 0.426
0.250 0.951 0.426
0.750 0.049 0.574
0.750 0.451 0.574
0.750 0.750 0.909
```

For the energy of formation, the calculation gives 7.06 kcal/mol of atoms.

(6)
Entry from the Alexandria database: a geometry-optimized BaCrTe2Os structure (PBE-GGA).

```
BaCrTe2Os
1.0
5.511 0.000 0.000
0.000 5.511 0.000
0.000 0.000 4.794
Ba Cr Te Os
1 1 2 1
Direct
0.000 0.000 0.000
0.500 0.500 0.000
0.000 0.500 0.500
0.500 0.000 0.500
0.500 0.500 0.500
```

The raw formation energy is 0.3 eV per formula unit.

(7)
Entry from the Alexandria database: a geometry-optimized CeGd2Hg structure (PBE-GGA).

```
CeGd2Hg
1.0
3.610 0.000 0.000
0.000 3.610 0.000
0.000 0.000 8.767
Ce Gd Hg
1 2 1
Direct
0.000 0.000 0.000
0.500 0.500 0.270
0.500 0.500 0.730
0.000 0.000 0.500
```

Its distance to the lowest polymorph of the same formula is 0.000 eV/atom. For the energy of formation, the calculation gives -4.47 kcal/mol of atoms.

(8)
Entry from the Alexandria database: a geometry-optimized Sr2Si4NiIr3 structure (PBE-GGA).

```
Sr2Si4NiIr3
1.0
4.225 0.000 0.000
0.000 4.225 0.000
0.000 0.000 9.941
Sr Si Ni Ir
2 4 1 3
Direct
0.000 0.500 0.250
0.500 0.000 0.750
0.000 0.000 0.000
0.000 0.500 0.619
0.500 0.000 0.381
0.500 0.500 0.000
0.000 0.000 0.500
0.000 0.500 0.875
0.500 0.000 0.125
0.500 0.500 0.500
```

The raw formation energy is -7.2 eV per formula unit.

(9)
Entry from the Alexandria database: a geometry-optimized TeRh2Pb structure (PBE-GGA).

```
TeRh2Pb
1.0
4.666 -1.712 0.000
4.666 1.712 0.000
-1.006 0.000 5.153
Te Rh Pb
1 2 1
Direct
0.000 0.000 0.000
0.275 0.275 0.916
0.516 0.516 0.627
0.771 0.771 0.431
```

Its distance to the lowest polymorph of the same formula is 0.174 eV/atom. The raw formation energy is -0.2 eV per formula unit.

(10)
Entry from the Alexandria database: a geometry-optimized Ce2MgVN5 structure (PBE-GGA).

```
Ce2MgVN5
1.0
1.691 -6.776 0.000
1.691 6.776 0.000
0.000 0.000 9.918
Ce Mg V N
4 2 2 10
Direct
0.116 0.884 0.500
0.142 0.858 0.135
0.858 0.142 0.635
0.884 0.116 0.000
0.208 0.792 0.844
0.792 0.208 0.344
0.451 0.549 0.272
0.549 0.451 0.772
0.042 0.958 0.856
0.288 0.712 0.508
0.326 0.674 0.207
0.363 0.637 0.839
0.491 0.509 0.611
0.509 0.491 0.111
0.637 0.363 0.339
0.674 0.326 0.707
0.712 0.288 0.008
0.958 0.042 0.356
```

The raw formation energy is -10.0 eV per formula unit.

(11)
Entry from the Alexandria database: a geometry-optimized Tb2Sm5Sc structure (PBE-GGA).

```
Tb2Sm5Sc
1.0
2.773 -5.913 0.000
2.773 5.913 0.000
0.000 0.000 16.029
Tb Sm Sc
4 10 2
Direct
0.225 0.775 0.636
0.225 0.775 0.864
0.775 0.225 0.136
0.775 0.225 0.364
0.078 0.922 0.093
0.078 0.922 0.407
0.382 0.618 0.053
0.382 0.618 0.447
0.468 0.532 0.750
0.532 0.468 0.250
0.618 0.382 0.553
0.618 0.382 0.947
0.922 0.078 0.593
0.922 0.078 0.907
0.257 0.743 0.250
0.743 0.257 0.750
```

For the energy of formation, the calculation gives 2.91 kcal/mol of atoms.

(12)
Entry from the Alexandria database: a geometry-optimized Zr3Al3Cu2 structure (PBE-GGA).

```
Zr3Al3Cu2
1.0
7.869 0.000 0.000
-3.935 6.815 0.000
0.000 0.000 5.252
Zr Al Cu
6 6 4
Direct
0.000 0.230 0.250
0.000 0.770 0.750
0.230 0.000 0.250
0.230 0.230 0.750
0.770 0.000 0.750
0.770 0.770 0.250
0.000 0.415 0.750
0.000 0.585 0.250
0.415 0.000 0.750
0.415 0.415 0.250
0.585 0.000 0.250
0.585 0.585 0.750
0.333 0.667 0.000
0.333 0.667 0.500
0.667 0.333 0.000
0.667 0.333 0.500
```

Its distance to the lowest polymorph of the same formula is 0.072 eV/atom. For the energy of formation, the calculation gives -6.17 kcal/mol of atoms.

(13)
Entry from the Alexandria database: a geometry-optimized Tb5SmDy2Mg structure (PBE-GGA).

```
Tb5SmDy2Mg
1.0
2.716 -10.015 0.000
2.716 10.015 0.000
0.000 0.000 10.577
Tb Sm Dy Mg
10 2 4 2
Direct
0.000 0.000 0.000
0.000 0.000 0.500
0.116 0.884 0.751
0.209 0.791 0.452
0.210 0.790 0.049
0.486 0.514 0.751
0.514 0.486 0.251
0.790 0.210 0.549
0.791 0.209 0.952
0.884 0.116 0.251
0.294 0.706 0.751
0.706 0.294 0.251
0.386 0.614 0.039
0.386 0.614 0.463
0.614 0.386 0.539
0.614 0.386 0.963
0.095 0.905 0.249
0.905 0.095 0.749
```

For the energy of formation, the calculation gives 2.36 kcal/mol of atoms.

(14)
Entry from the Alexandria database: a geometry-optimized NaMg2FeAg structure (PBE-GGA).

```
NaMg2FeAg
1.0
4.972 0.000 0.000
0.000 4.972 0.000
0.000 0.000 5.180
Na Mg Fe Ag
1 2 1 1
Direct
0.000 0.000 0.000
0.000 0.500 0.500
0.500 0.000 0.500
0.000 0.000 0.500
0.500 0.500 0.000
```

For the energy of formation, the calculation gives 17.68 kcal/mol of atoms.

(15)
Entry from the Alexandria database: a geometry-optimized VTe2OsN structure (PBE-GGA).

```
VTe2OsN
1.0
5.441 0.000 0.000
0.000 5.441 0.000
0.000 0.000 3.658
V Te Os N
1 2 1 1
Direct
0.000 0.000 0.000
0.000 0.500 0.500
0.500 0.000 0.500
0.500 0.500 0.500
0.500 0.500 0.000
```

Its distance to the lowest polymorph of the same formula is 0.000 eV/atom. The raw formation energy is 2.6 eV per formula unit.

(16)
Entry from the Alexandria database: a geometry-optimized CuRe2Au structure (PBE-GGA).

```
CuRe2Au
1.0
2.759 0.000 0.000
0.000 4.113 0.000
0.000 0.000 5.344
Cu Re Au
1 2 1
Direct
0.000 0.000 0.000
0.500 0.500 0.222
0.500 0.500 0.778
0.000 0.000 0.500
```

Its distance to the lowest polymorph of the same formula is 0.314 eV/atom. For the energy of formation, the calculation gives 11.29 kcal/mol of atoms.

(17)
Entry from the Alexandria database: a geometry-optimized SnPb structure (PBE-GGA).

```
SnPb
1.0
-2.077 6.424 3.466
2.077 -6.424 3.466
2.077 6.424 -3.466
Sn Pb
3 3
Direct
0.000 0.000 0.000
0.622 0.263 0.359
0.905 0.263 0.641
0.082 0.744 0.338
0.406 0.744 0.662
0.498 0.498 0.000
```

For the energy of formation, the calculation gives 1.78 kcal/mol of atoms.

(18)
Entry from the Alexandria database: a geometry-optimized SmThZnSi structure (PBE-GGA).

```
SmThZnSi
1.0
0.000 3.627 3.627
3.627 0.000 3.627
3.627 3.627 0.000
Sm Th Zn Si
1 1 1 1
Direct
0.000 0.000 0.000
0.500 0.500 0.500
0.750 0.750 0.750
0.250 0.250 0.250
```

The raw formation energy is -1.4 eV per formula unit.

(19)
Entry from the Alexandria database: a geometry-optimized CoNiSb2I structure (PBE-GGA).

```
CoNiSb2I
1.0
4.801 0.000 0.000
0.000 4.801 0.000
0.000 0.000 5.418
Co Ni Sb I
1 1 2 1
Direct
0.000 0.000 0.000
0.500 0.500 0.500
0.000 0.500 0.000
0.500 0.000 0.000
0.000 0.000 0.500
```

Its distance to the lowest polymorph of the same formula is 0.000 eV/atom. The raw formation energy is 3.9 eV per formula unit.

(20)
Entry from the Alexandria database: a geometry-optimized Ce4GaSi structure (PBE-GGA).

```
Ce4GaSi
1.0
5.816 0.000 0.000
0.000 8.186 0.000
-1.417 0.000 7.341
Ce Ga Si
8 2 2
Direct
0.026 0.085 0.242
0.026 0.415 0.242
0.404 0.750 0.497
0.466 0.250 0.976
0.534 0.750 0.024
0.596 0.250 0.503
0.974 0.585 0.758
0.974 0.915 0.758
0.128 0.250 0.611
0.872 0.750 0.389
0.065 0.750 0.115
0.935 0.250 0.885
```

Its distance to the lowest polymorph of the same formula is 0.127 eV/atom. The raw formation energy is -0.8 eV per formula unit.

(21)
Entry from the Alexandria database: a geometry-optimized LaRe3Se structure (PBE-GGA).

```
LaRe3Se
1.0
4.850 0.000 0.000
0.000 4.850 0.000
0.000 0.000 4.850
La Re Se
1 3 1
Direct
0.000 0.000 0.000
0.000 0.000 0.500
0.000 0.500 0.000
0.500 0.000 0.000
0.500 0.500 0.500
```

Its distance to the lowest polymorph of the same formula is 2.090 eV/atom. The raw formation energy is 16.0 eV per formula unit.

(22)
Entry from the Alexandria database: a geometry-optimized Nd7Tm2Sc structure (PBE-GGA).

```
Nd7Tm2Sc
1.0
4.442 -8.452 0.000
4.442 8.452 0.000
0.000 0.000 5.395
Nd Tm Sc
7 2 1
Direct
0.000 0.000 0.000
0.212 0.430 0.000
0.299 0.701 0.500
0.430 0.212 0.000
0.570 0.788 0.000
0.701 0.299 0.500
0.788 0.570 0.000
0.204 0.796 0.000
0.796 0.204 0.000
0.500 0.500 0.500
```

For the energy of formation, the calculation gives 15.11 kcal/mol of atoms.

(23)
Entry from the Alexandria database: a geometry-optimized Ce3In4Ru4 structure (PBE-GGA).

```
Ce3In4Ru4
1.0
-1.919 4.155 7.417
1.919 -4.155 7.417
1.919 4.155 -7.417
Ce In Ru
3 4 4
Direct
0.000 0.000 0.000
0.385 0.885 0.500
0.615 0.115 0.500
0.017 0.331 0.685
0.354 0.669 0.685
0.646 0.331 0.315
0.983 0.669 0.315
0.255 0.255 0.000
0.322 0.500 0.822
0.678 0.500 0.178
0.745 0.745 0.000
```

For the energy of formation, the calculation gives -5.58 kcal/mol of atoms.